A geometry-optimized AgBPt3 structure, computed with PBE-GGA.

The space group is C2/m (No. 12) and the conventional cell measures 9.8920, 5.7040 and 6.2231 Å, with angles of 90.00, 122.03 and 90.00 degrees. Symmetry generates all atoms from Ag at (0.0898, 0.0000, 0.2697), B at (0.1676, 0.5000, 0.0043), Pt at (0.0880, 0.5000, 0.2698) and Pt at (0.1596, 0.2527, 0.7310).

The calculation puts the total DFT energy (no corrections) at -5.741 eV/atom. The calculation puts the distance to the lowest polymorph of the same formula at 13.1 meV per atom. The energy of formation comes out at -0.211 eV per atom.